(1)
Compound: CaNiIr2
Source: the Alexandria database
Functional: PBE-GGA
Structure: relaxed Values from VASP.

Cell and atoms, written as Quantum ESPRESSO input:
```
&SYSTEM
  ibrav = 0, nat = 4, ntyp = 3
/
ATOMIC_SPECIES
Ir 192.22 Ir.upf
Ni 58.69 Ni.upf
Ca 40.08 Ca.upf
CELL_PARAMETERS angstrom
4.496 0.000 0.000
2.248 3.894 0.000
2.248 1.298 3.671
ATOMIC_POSITIONS crystal
Ir 0.000 0.000 0.000
Ir 0.250 0.250 0.250
Ni 0.750 0.750 0.750
Ca 0.500 0.500 0.500
```

Results
* ΔH_f (0 K): 0.258 eV/atom
* space group: No. 216
* N(E_F): 7.18 states/eV/cell
* relative energy among the computed polymorphs: 241.8 meV/atom

(2)
Compound: VSb2Pt
Source: the Alexandria database
Functional: PBE-GGA
Structure: relaxed Values from VASP.

Cell and atoms, written as Quantum ESPRESSO input:
```
&SYSTEM
  ibrav = 0, nat = 4, ntyp = 3
/
ATOMIC_SPECIES
Sb 121.76 Sb.upf
V 50.94 V.upf
Pt 195.08 Pt.upf
CELL_PARAMETERS angstrom
-3.816 0.002 2.842
-4.016 2.124 -1.412
-3.807 -2.621 -1.128
ATOMIC_POSITIONS crystal
Sb 0.250 0.250 0.250
Sb 0.750 0.750 0.750
V 0.000 0.000 0.000
Pt 0.500 0.500 0.500
```

Results
* formation energy from raw total energies: 0.15 eV per atom
* space group: No. 225
* N(E_F): 1.98 states/eV/cell
* relative energy among the computed polymorphs: 98.3 meV/atom

(3)
Compound: SrSi2PdBr
Source: the Alexandria database
Functional: PBE-GGA
Structure: relaxed Values from VASP.

Cell and atoms, written as Quantum ESPRESSO input:
```
&SYSTEM
  ibrav = 0, nat = 5, ntyp = 4
/
ATOMIC_SPECIES
Br 79.90 Br.upf
Sr 87.62 Sr.upf
Si 28.09 Si.upf
Pd 106.42 Pd.upf
CELL_PARAMETERS angstrom
5.801 0.000 0.000
0.000 5.568 0.000
0.000 0.000 5.801
ATOMIC_POSITIONS crystal
Br 0.000 0.500 0.000
Sr 0.000 0.000 0.000
Si 0.000 0.000 0.500
Si 0.500 0.000 0.000
Pd 0.500 0.500 0.500
```

Results
* formation energy from raw total energies: 1.23 eV per atom
* space group: No. 123
* N(E_F): 5.75 states/eV/cell

(4)
Compound: Cu2H2W
Source: the Alexandria database
Functional: PBE-GGA
Structure: relaxed Values from VASP.

Cell and atoms, written as Quantum ESPRESSO input:
```
&SYSTEM
  ibrav = 0, nat = 10, ntyp = 3
/
ATOMIC_SPECIES
W 183.84 W.upf
H 1.01 H.upf
Cu 63.55 Cu.upf
CELL_PARAMETERS angstrom
4.807 0.000 0.000
0.000 4.807 0.000
0.000 0.000 4.126
ATOMIC_POSITIONS crystal
W 0.000 0.000 0.000
W 0.500 0.500 0.000
H 0.857 0.357 0.000
H 0.643 0.857 0.000
H 0.357 0.143 0.000
H 0.143 0.643 0.000
Cu 0.819 0.319 0.500
Cu 0.319 0.181 0.500
Cu 0.181 0.681 0.500
Cu 0.681 0.819 0.500
```

Results
* space group: No. 127
* N(E_F): 1.64 states/eV/cell
* relative energy among the computed polymorphs: 0.0 meV/atom

(5)
Compound: PmErCl3
Source: the Alexandria database
Functional: PBE-GGA
Structure: relaxed Values from VASP.

Cell and atoms, written as Quantum ESPRESSO input:
```
&SYSTEM
  ibrav = 0, nat = 10, ntyp = 3
/
ATOMIC_SPECIES
Cl 35.45 Cl.upf
Er 167.26 Er.upf
Pm 145.00 Pm.upf
CELL_PARAMETERS angstrom
-0.973 -3.683 -0.512
4.427 -2.235 -6.765
8.095 -4.568 3.055
ATOMIC_POSITIONS crystal
Cl 0.782 0.324 0.112
Cl 0.955 0.337 0.753
Cl 0.045 0.663 0.247
Cl 0.660 0.189 0.492
Cl 0.340 0.811 0.508
Cl 0.218 0.676 0.888
Er 0.419 0.208 0.955
Er 0.581 0.792 0.045
Pm 0.140 0.010 0.709
Pm 0.860 0.990 0.291
```

Results
* formation energy from raw total energies: -1.83 eV per atom
* space group: No. 12

(6)
Compound: La2AsRh
Source: the Alexandria database
Functional: PBE-GGA
Structure: relaxed Values from VASP.

Cell and atoms, written as Quantum ESPRESSO input:
```
&SYSTEM
  ibrav = 0, nat = 4, ntyp = 3
/
ATOMIC_SPECIES
As 74.92 As.upf
La 138.91 La.upf
Rh 102.91 Rh.upf
CELL_PARAMETERS angstrom
-0.378 -7.055 -3.429
3.328 -7.020 -1.144
-0.458 -7.792 0.861
ATOMIC_POSITIONS crystal
As 0.784 0.784 0.784
La 0.207 0.207 0.207
La 0.042 0.042 0.042
Rh 0.467 0.467 0.467
```

Results
* ΔH_f (0 K): -0.870 eV/atom
* space group: No. 160
* N(E_F): 4.13 states/eV/cell

(7)
Compound: YOs2PdBr
Source: the Alexandria database
Functional: PBE-GGA
Structure: relaxed Values from VASP.

Cell and atoms, written as Quantum ESPRESSO input:
```
&SYSTEM
  ibrav = 0, nat = 5, ntyp = 4
/
ATOMIC_SPECIES
Y 88.91 Y.upf
Os 190.23 Os.upf
Br 79.90 Br.upf
Pd 106.42 Pd.upf
CELL_PARAMETERS angstrom
-5.019 0.142 -0.894
-0.572 -4.672 2.466
-0.721 2.425 4.428
ATOMIC_POSITIONS crystal
Y 0.000 0.000 0.000
Os 0.000 0.000 0.500
Os 0.500 0.000 0.000
Br 0.000 0.500 0.000
Pd 0.500 0.500 0.500
```

Results
* formation energy from raw total energies: 2.10 eV per atom
* space group: No. 123
* N(E_F): 5.05 states/eV/cell

(8)
Compound: Pa6Co2N
Source: the Alexandria database
Functional: PBE-GGA
Structure: relaxed Values from VASP.

Cell and atoms, written as Quantum ESPRESSO input:
```
&SYSTEM
  ibrav = 0, nat = 18, ntyp = 3
/
ATOMIC_SPECIES
N 14.01 N.upf
Pa 231.04 Pa.upf
Co 58.93 Co.upf
CELL_PARAMETERS angstrom
5.864 0.000 -0.004
0.000 6.696 0.000
0.293 0.000 9.303
ATOMIC_POSITIONS crystal
N 0.500 0.500 0.000
N 0.000 0.000 0.500
Pa 0.147 0.330 0.941
Pa 0.348 0.824 0.938
Pa 0.157 0.051 0.253
Pa 0.652 0.176 0.062
Pa 0.343 0.551 0.247
Pa 0.353 0.830 0.559
Pa 0.848 0.676 0.438
Pa 0.853 0.670 0.059
Pa 0.843 0.949 0.747
Pa 0.647 0.170 0.441
Pa 0.152 0.324 0.562
Pa 0.657 0.449 0.753
Co 0.906 0.380 0.253
Co 0.094 0.620 0.747
Co 0.594 0.880 0.247
Co 0.406 0.120 0.753
```

Results
* formation energy from raw total energies: -0.45 eV per atom
* space group: No. 14
* N(E_F): 24.98 states/eV/cell

(9)
Compound: CePmPbSe
Source: the Alexandria database
Functional: PBE-GGA
Structure: relaxed Values from VASP.

Cell and atoms, written as Quantum ESPRESSO input:
```
&SYSTEM
  ibrav = 0, nat = 4, ntyp = 4
/
ATOMIC_SPECIES
Ce 140.12 Ce.upf
Se 78.96 Se.upf
Pm 145.00 Pm.upf
Pb 207.20 Pb.upf
CELL_PARAMETERS angstrom
-0.073 -3.763 -2.308
4.302 0.378 -0.752
1.215 -3.231 5.230
ATOMIC_POSITIONS crystal
Ce 0.000 0.892 0.592
Se 0.500 0.392 0.592
Pm 0.500 0.391 0.092
Pb 0.000 0.891 0.092
```

Results
* formation energy from raw total energies: -1.12 eV per atom
* space group: No. 10
* N(E_F): 7.84 states/eV/cell

(10)
Compound: BC3
Source: the Alexandria database
Functional: PBE-GGA
Structure: relaxed Values from VASP.

Cell and atoms, written as Quantum ESPRESSO input:
```
&SYSTEM
  ibrav = 0, nat = 4, ntyp = 2
/
ATOMIC_SPECIES
C 12.01 C.upf
B 10.81 B.upf
CELL_PARAMETERS angstrom
-0.996 2.543 0.622
-2.922 -1.508 1.485
1.946 -1.401 2.406
ATOMIC_POSITIONS crystal
C 0.846 0.812 0.769
C 0.688 0.500 0.447
C 0.846 0.188 0.769
B 0.031 0.500 0.143
```

Results
* ΔH_f (0 K): 0.628 eV/atom
* space group: No. 6
* N(E_F): 0.80 states/eV/cell
* relative energy among the computed polymorphs: 387.3 meV/atom

(11)
Compound: RbY2Cd4
Source: the Alexandria database
Functional: PBE-GGA
Structure: relaxed Values from VASP.

Cell and atoms, written as Quantum ESPRESSO input:
```
&SYSTEM
  ibrav = 0, nat = 7, ntyp = 3
/
ATOMIC_SPECIES
Cd 112.41 Cd.upf
Y 88.91 Y.upf
Rb 85.47 Rb.upf
CELL_PARAMETERS angstrom
5.908 0.000 0.000
0.000 5.908 0.000
2.954 2.954 8.153
ATOMIC_POSITIONS crystal
Cd 0.210 0.210 0.581
Cd 0.500 0.000 0.000
Cd 0.000 0.500 0.000
Cd 0.790 0.790 0.419
Y 0.403 0.403 0.195
Y 0.597 0.597 0.805
Rb 0.000 0.000 0.000
```

Results
* ΔH_f (0 K): 0.495 eV/atom
* space group: No. 139
* N(E_F): 3.94 states/eV/cell

(12)
Compound: Ac5Ni2Au
Source: the Alexandria database
Functional: PBE-GGA
Structure: relaxed Values from VASP.

Cell and atoms, written as Quantum ESPRESSO input:
```
&SYSTEM
  ibrav = 0, nat = 16, ntyp = 3
/
ATOMIC_SPECIES
Ni 58.69 Ni.upf
Ac 227.00 Ac.upf
Au 196.97 Au.upf
CELL_PARAMETERS angstrom
7.457 0.000 -3.520
-1.662 7.269 -3.520
-0.167 -0.209 9.306
ATOMIC_POSITIONS crystal
Ni 0.126 0.374 0.000
Ni 0.374 0.874 0.000
Ni 0.626 0.126 0.000
Ni 0.874 0.626 0.000
Ac 0.200 0.025 0.725
Ac 0.025 0.525 0.725
Ac 0.975 0.475 0.275
Ac 0.525 0.700 0.725
Ac 0.700 0.200 0.725
Ac 0.300 0.800 0.275
Ac 0.000 0.000 0.000
Ac 0.800 0.975 0.275
Ac 0.500 0.500 0.000
Ac 0.475 0.300 0.275
Au 0.250 0.250 0.500
Au 0.750 0.750 0.500
```

Results
* ΔH_f (0 K): -0.293 eV/atom
* space group: No. 140
* N(E_F): 18.74 states/eV/cell